Arrangement A

First-principles (PBE) data for an optimized crystal structure of CeSm2Pa, as listed in Alexandria via LeMat-Bulk.

```
CeSm2Pa
1.0
3.372 0.000 0.000
0.000 3.372 0.000
0.000 0.000 10.572
Ce Sm Pa
1 2 1
Direct
0.000 0.000 0.000
0.500 0.500 0.267
0.500 0.500 0.733
0.000 0.000 0.500
```

Properties
The value obtained for the density of states at the Fermi level is 2.23 states/eV/atom. Its space group is P4/mmm, No. 123.



Arrangement B

First-principles (PBE) data for an optimized crystal structure of CeSm2Pa, as listed in Alexandria via LeMat-Bulk.

```
CeSm2Pa
1.0
1.665 0.961 12.271
-1.665 0.961 12.271
0.000 -1.922 12.271
Ce Sm Pa
1 2 1
Direct
0.000 0.000 0.000
0.412 0.412 0.412
0.588 0.588 0.588
0.500 0.500 0.500
```

Properties
The value obtained for the density of states at the Fermi level is 1.82 states/eV/atom. Its space group is R-3m, No. 166.



Structures ranked by computed energy, the most stable listed first: arrangement A, arrangement B.



Arrangement A

First-principles (PBE) data for an optimized crystal structure of Ce2SmPa, as listed in Alexandria via LeMat-Bulk.

```
Ce2SmPa
1.0
3.357 0.000 0.000
0.000 3.357 0.000
0.000 0.000 9.986
Ce Sm Pa
2 1 1
Direct
0.000 0.000 0.230
0.000 0.000 0.770
0.500 0.500 0.500
0.500 0.500 0.000
```

Properties
The value obtained for the density of states at the Fermi level is 2.30 states/eV/atom. Its space group is P4/mmm, No. 123.



Arrangement B

First-principles (PBE) data for an optimized crystal structure of Ce2SmPa, as listed in Alexandria via LeMat-Bulk.

```
Ce2SmPa
1.0
1.914 1.105 9.812
-1.914 1.105 9.812
0.000 -2.210 9.812
Ce Sm Pa
2 1 1
Direct
0.112 0.112 0.112
0.888 0.888 0.888
0.000 0.000 0.000
0.500 0.500 0.500
```

Properties
The value obtained for the density of states at the Fermi level is 2.72 states/eV/atom. Its space group is R-3m, No. 166.



Structures ranked by computed energy, the most stable listed first: arrangement A, arrangement B.



Arrangement A

First-principles (PBE) data for an optimized crystal structure of Ce2SmPa, as listed in Alexandria via LeMat-Bulk.

```
Ce2SmPa
1.0
0.000 3.819 3.819
3.819 0.000 3.819
3.819 3.819 0.000
Ce Sm Pa
2 1 1
Direct
0.250 0.250 0.250
0.750 0.750 0.750
0.000 0.000 0.000
0.500 0.500 0.500
```

Properties
The value obtained for the density of states at the Fermi level is 3.54 states/eV/atom. Its space group is Fm-3m, No. 225.



Arrangement B

First-principles (PBE) data for an optimized crystal structure of Ce2SmPa, as listed in Alexandria via LeMat-Bulk.

```
Ce2SmPa
1.0
4.825 0.000 0.000
0.000 4.825 0.000
0.000 0.000 4.716
Ce Sm Pa
2 1 1
Direct
0.000 0.500 0.000
0.500 0.000 0.000
0.000 0.000 0.500
0.500 0.500 0.500
```

Properties
The value obtained for the density of states at the Fermi level is 2.57 states/eV/atom. Its space group is P4/mmm, No. 123.



Structures ranked by computed energy, the most stable listed first: arrangement B, arrangement A.



Arrangement A

First-principles (PBE) data for an optimized crystal structure of CeSmPa2, as listed in Alexandria via LeMat-Bulk.

```
CeSmPa2
1.0
4.630 0.000 0.000
0.000 4.630 0.000
0.000 0.000 4.998
Ce Sm Pa
1 1 2
Direct
0.000 0.000 0.000
0.500 0.500 0.000
0.000 0.500 0.500
0.500 0.000 0.500
```

Properties
The value obtained for the density of states at the Fermi level is 2.35 states/eV/atom. Its space group is P4/mmm, No. 123.



Arrangement B

First-principles (PBE) data for an optimized crystal structure of CeSmPa2, as listed in Alexandria via LeMat-Bulk.

```
CeSmPa2
1.0
3.209 0.000 0.000
0.000 3.209 0.000
0.000 0.000 10.321
Ce Sm Pa
1 1 2
Direct
0.000 0.000 0.000
0.000 0.000 0.500
0.500 0.500 0.239
0.500 0.500 0.761
```

Properties
The value obtained for the density of states at the Fermi level is 2.00 states/eV/atom. Its space group is P4/mmm, No. 123.



Structures ranked by computed energy, the most stable listed first: arrangement B, arrangement A.